Record 1
This record from Alexandria describes an optimized crystal structure of PrNdBr2. The functional is PBE.

ΔE to the lowest computed polymorph, eV/atom: 0.064

Unit cell a=10.579 b=10.579 c=10.579 alpha=20.62 beta=20.62 gamma=20.62
Positions (direct):
1 Pr 0.000 0.000 0.000
2 Nd 0.500 0.500 0.500
3 Br 0.404 0.404 0.404
4 Br 0.596 0.596 0.596

Record 2
This record from Alexandria describes an optimized crystal structure of PrNdRhBr. The functional is PBE.

Unit cell a=8.310 b=8.310 c=8.310 alpha=28.71 beta=28.71 gamma=28.71
Positions (direct):
1 Pr 0.000 0.000 0.000
2 Nd 0.203 0.203 0.203
3 Rh 0.601 0.601 0.601
4 Br 0.771 0.771 0.771

Record 3
This record from Alexandria describes an optimized crystal structure of PrNdSBr. The functional is PBE.

Unit cell a=3.977 b=3.977 c=8.137 alpha=104.07 beta=104.07 gamma=60.05
Positions (direct):
1 Pr 0.000 0.000 0.000
2 Nd 0.803 0.803 0.409
3 S 0.402 0.402 0.205
4 Br 0.232 0.232 0.697

Record 4
This record from Alexandria describes an optimized crystal structure of PrNdSeBr. The functional is PBE.

Unit cell a=5.217 b=5.217 c=5.217 alpha=60.00 beta=60.00 gamma=60.00
Positions (direct):
1 Pr 0.000 0.000 0.000
2 Nd 0.500 0.500 0.500
3 Se 0.750 0.750 0.750
4 Br 0.250 0.250 0.250

Record 5
This record from Alexandria describes an optimized crystal structure of PrNdSiBr. The functional is PBE.

Unit cell a=8.057 b=8.057 c=8.057 alpha=30.42 beta=30.42 gamma=30.42
Positions (direct):
1 Pr 0.000 0.000 0.000
2 Nd 0.804 0.804 0.804
3 Si 0.404 0.404 0.404
4 Br 0.232 0.232 0.232

Record 6
This record from Alexandria describes an optimized crystal structure of PrNdTeBr. The functional is PBE.

Unit cell a=5.398 b=5.398 c=5.398 alpha=60.00 beta=60.00 gamma=60.00
Positions (direct):
1 Pr 0.000 0.000 0.000
2 Nd 0.500 0.500 0.500
3 Te 0.250 0.250 0.250
4 Br 0.750 0.750 0.750

Record 7
This record from Alexandria describes an optimized crystal structure of Nd3PtBr. The functional is PBE.

Unit cell a=3.898 b=9.895 c=8.183 alpha=90.00 beta=90.00 gamma=90.00
Positions (direct):
1 Nd 0.250 0.070 0.172
2 Nd 0.250 0.250 0.742
3 Nd 0.250 0.430 0.172
4 Nd 0.750 0.570 0.828
5 Nd 0.750 0.750 0.258
6 Nd 0.750 0.930 0.828
7 Pt 0.250 0.750 0.005
8 Pt 0.750 0.250 0.995
9 Br 0.250 0.750 0.563
10 Br 0.750 0.250 0.437

Record 8
This record from Alexandria describes an optimized crystal structure of Nd2PtBr. The functional is PBE.

ΔE to the lowest computed polymorph, eV/atom: 0.022

Unit cell a=8.247 b=8.247 c=8.247 alpha=29.59 beta=29.59 gamma=29.59
Positions (direct):
1 Nd 0.000 0.000 0.000
2 Nd 0.203 0.203 0.203
3 Pt 0.602 0.602 0.602
4 Br 0.771 0.771 0.771

Record 9
This record from Alexandria describes an optimized crystal structure of Nd2PtBr2. The functional is PBE.

Unit cell a=4.149 b=4.149 c=11.761 alpha=101.14 beta=101.14 gamma=60.00
Positions (direct):
1 Nd 0.220 0.220 0.147
2 Nd 0.780 0.780 0.853
3 Pt 0.500 0.500 0.000
4 Br 0.051 0.051 0.682
5 Br 0.949 0.949 0.318

Record 10
This record from Alexandria describes an optimized crystal structure of Nd2PtBr3. The functional is PBE.

Unit cell a=9.227 b=9.227 c=12.149 alpha=120.79 beta=120.79 gamma=26.95
Positions (direct):
1 Nd 0.108 0.108 0.434
2 Nd 0.357 0.357 0.191
3 Nd 0.643 0.643 0.809
4 Nd 0.892 0.892 0.566
5 Pt 0.067 0.067 0.631
6 Pt 0.933 0.933 0.369
7 Br 0.163 0.163 0.016
8 Br 0.268 0.268 0.384
9 Br 0.455 0.455 0.768
10 Br 0.545 0.545 0.232
11 Br 0.732 0.732 0.616
12 Br 0.837 0.837 0.984

Record 11
This record from Alexandria describes an optimized crystal structure of Nd2PtBr. The functional is PBE.

ΔE to the lowest computed polymorph, eV/atom: 0.194

Unit cell a=3.550 b=3.550 c=8.299 alpha=90.00 beta=90.00 gamma=90.00
Positions (direct):
1 Nd 0.000 0.000 0.214
2 Nd 0.000 0.000 0.786
3 Pt 0.500 0.500 0.000
4 Br 0.500 0.500 0.500

Record 12
This record from Alexandria describes an optimized crystal structure of Nd3PtBr3. The functional is PBE.

Unit cell a=10.549 b=10.549 c=10.549 alpha=109.47 beta=109.47 gamma=109.47
Positions (direct):
1 Nd 0.015 0.030 0.265
2 Nd 0.015 0.485 0.750
3 Nd 0.030 0.265 0.015
4 Nd 0.235 0.265 0.750
5 Nd 0.235 0.470 0.485
6 Nd 0.265 0.015 0.030
7 Nd 0.265 0.750 0.235
8 Nd 0.470 0.485 0.235
9 Nd 0.485 0.235 0.470
10 Nd 0.485 0.750 0.015
11 Nd 0.750 0.015 0.485
12 Nd 0.750 0.235 0.265
13 Pt 0.000 0.250 0.500
14 Pt 0.250 0.250 0.250
15 Pt 0.250 0.500 0.000
16 Pt 0.500 0.000 0.250
17 Br 0.250 0.754 0.746
18 Br 0.250 0.996 0.504
19 Br 0.504 0.250 0.996
20 Br 0.504 0.754 0.507
21 Br 0.507 0.504 0.754
22 Br 0.746 0.250 0.754
23 Br 0.746 0.996 0.993
24 Br 0.754 0.507 0.504
25 Br 0.754 0.746 0.250
26 Br 0.993 0.746 0.996
27 Br 0.996 0.504 0.250
28 Br 0.996 0.993 0.746

Record 13
This record from Alexandria describes an optimized crystal structure of Nd4Pt2Br3. The functional is PBE.

Unit cell a=4.182 b=4.182 c=18.817 alpha=90.04 beta=90.04 gamma=60.00
Positions (direct):
1 Nd 0.001 0.001 0.298
2 Nd 0.334 0.334 0.125
3 Nd 0.666 0.666 0.875
4 Nd 0.999 0.999 0.702
5 Pt 0.333 0.333 0.793
6 Pt 0.667 0.667 0.207
7 Br 0.000 0.000 0.000
8 Br 0.334 0.334 0.400
9 Br 0.666 0.666 0.600

Record 14
This record from Alexandria describes an optimized crystal structure of Nd2PtBr. The functional is PBE.

ΔE to the lowest computed polymorph, eV/atom: 0.000

Unit cell a=8.125 b=8.125 c=8.125 alpha=30.18 beta=30.18 gamma=30.18
Positions (direct):
1 Nd 0.233 0.233 0.233
2 Nd 0.767 0.767 0.767
3 Pt 0.500 0.500 0.500
4 Br 0.000 0.000 0.000

Record 15
This record from Alexandria describes an optimized crystal structure of Nd8Pt3RhBr4. The functional is PBE.

Unit cell a=8.413 b=8.413 c=9.161 alpha=117.37 beta=117.37 gamma=60.00
Positions (direct):
1 Nd 0.230 0.230 0.697
2 Nd 0.230 0.737 0.697
3 Nd 0.263 0.770 0.303
4 Nd 0.267 0.267 0.303
5 Nd 0.733 0.733 0.697
6 Nd 0.737 0.230 0.697
7 Nd 0.770 0.263 0.303
8 Nd 0.770 0.770 0.303
9 Pt 0.000 0.500 0.500
10 Pt 0.500 0.000 0.500
11 Pt 0.500 0.500 0.500
12 Rh 0.000 0.000 0.500
13 Br 0.000 0.000 0.000
14 Br 0.000 0.500 0.000
15 Br 0.500 0.000 0.000
16 Br 0.500 0.500 0.000

Record 16
This record from Alexandria describes an optimized crystal structure of Nd6PtRh2Br3. The functional is PBE.

Unit cell a=7.208 b=7.208 c=8.168 alpha=98.45 beta=98.45 gamma=119.99
Positions (direct):
1 Nd 0.095 0.435 0.804
2 Nd 0.226 0.226 0.196
3 Nd 0.435 0.095 0.804
4 Nd 0.565 0.905 0.196
5 Nd 0.774 0.774 0.804
6 Nd 0.905 0.565 0.196
7 Pt 0.500 0.500 0.000
8 Rh 0.167 0.833 0.000
9 Rh 0.833 0.167 0.000
10 Br 0.000 0.000 0.500
11 Br 0.332 0.668 0.500
12 Br 0.668 0.332 0.500

Record 17
This record from Alexandria describes an optimized crystal structure of Nd4PtRhBr2. The functional is PBE.

Unit cell a=7.262 b=4.180 c=8.160 alpha=90.00 beta=107.47 gamma=90.00
Positions (direct):
1 Nd 0.229 0.000 0.196
2 Nd 0.261 0.500 0.804
3 Nd 0.739 0.500 0.196
4 Nd 0.771 0.000 0.804
5 Pt 0.500 0.000 0.000
6 Rh 0.000 0.500 0.000
7 Br 0.000 0.000 0.500
8 Br 0.500 0.500 0.500

Record 18
This record from Alexandria describes an optimized crystal structure of Nd8RuPt3Br4. The functional is PBE.

Unit cell a=8.399 b=8.399 c=9.168 alpha=117.27 beta=117.27 gamma=60.00
Positions (direct):
1 Nd 0.227 0.227 0.696
2 Nd 0.229 0.742 0.697
3 Nd 0.258 0.771 0.303
4 Nd 0.267 0.267 0.304
5 Nd 0.733 0.733 0.696
6 Nd 0.742 0.229 0.697
7 Nd 0.771 0.258 0.303
8 Nd 0.773 0.773 0.304
9 Ru 0.000 0.000 0.500
10 Pt 0.000 0.500 0.500
11 Pt 0.500 0.000 0.500
12 Pt 0.500 0.500 0.500
13 Br 0.000 0.000 0.000
14 Br 0.000 0.500 0.000
15 Br 0.500 0.000 0.000
16 Br 0.500 0.500 0.000

Record 19
This record from Alexandria describes an optimized crystal structure of Nd8Ru3PtBr4. The functional is PBE.

Unit cell a=9.193 b=9.193 c=9.193 alpha=53.16 beta=53.16 gamma=53.16
Positions (direct):
1 Nd 0.222 0.738 0.738
2 Nd 0.233 0.233 0.233
3 Nd 0.262 0.262 0.778
4 Nd 0.262 0.778 0.262
5 Nd 0.738 0.222 0.738
6 Nd 0.738 0.738 0.222
7 Nd 0.767 0.767 0.767
8 Nd 0.778 0.262 0.262
9 Ru 0.000 0.000 0.500
10 Ru 0.000 0.500 0.000
11 Ru 0.500 0.000 0.000
12 Pt 0.500 0.500 0.500
13 Br 0.000 0.000 0.000
14 Br 0.000 0.500 0.500
15 Br 0.500 0.000 0.500
16 Br 0.500 0.500 0.000

Record 20
This record from Alexandria describes an optimized crystal structure of Nd6RuPt2Br3. The functional is PBE.

Unit cell a=10.086 b=10.086 c=9.168 alpha=109.92 beta=109.92 gamma=23.94
Positions (direct):
1 Nd 0.009 0.009 0.213
2 Nd 0.324 0.324 0.445
3 Nd 0.351 0.351 0.895
4 Nd 0.649 0.649 0.105
5 Nd 0.676 0.676 0.555
6 Nd 0.991 0.991 0.787
7 Ru 0.500 0.500 0.000
8 Pt 0.168 0.168 0.336
9 Pt 0.832 0.832 0.664
10 Br 0.166 0.166 0.831
11 Br 0.500 0.500 0.500
12 Br 0.834 0.834 0.169

Formation energy from raw total energies for the records above, in order: -1.095 -1.056 -1.580 -1.368 -1.048 -1.247 -0.823 -1.225 -1.478 -1.518 -1.053 -1.481 -1.378 -1.247 -1.205 -1.134 -1.161 -1.168 -0.907 -1.113 eV/atom
VASP energy for the records above, in order: -4.319 -5.699 -5.417 -5.044 -5.209 -4.838 -5.227 -5.537 -5.262 -4.950 -5.365 -5.105 -5.397 -5.559 -5.599 -5.665 -5.637 -5.683 -5.826 -5.695 eV/atom
Total magnetic moment for the records above, in order: 0.01 0.00 0.00 0.00 0.00 0.00 0.00 0.00 0.00 0.00 0.00 0.00 0.00 0.00 0.00 0.00 0.00 0.00 0.00 0.00 μB per formula unit